The following is a DFT calculation (GGA-PBE) of crystalline Nd2HoTmBi5 at its relaxed geometry.

Cell and atoms, written as POSCAR:
```
Nd2HoTmBi5
1.0
5.427 0.000 0.000
0.000 5.427 0.000
0.000 0.000 11.849
Nd Ho Tm Bi
2 1 1 5
Cartesian
0.000 0.000 2.649
0.000 0.000 9.200
2.714 2.714 0.000
2.714 2.714 5.924
0.000 0.000 5.924
0.000 2.714 0.000
2.714 0.000 0.000
2.714 2.714 3.021
2.714 2.714 8.828
```

Output
Fermi-level density of states: 5.85 states/eV/cell
Size of the total moment: 0.000 μB/f.u.
Formation enthalpy at 0 K: -93.8 kJ/mol of formula units

The following is a DFT calculation (GGA-PBE) of crystalline TaTi2Sb at its relaxed geometry.

Cell and atoms, written as POSCAR:
```
TaTi2Sb
1.0
1.569 0.906 9.020
-1.569 0.906 9.020
0.000 -1.812 9.020
Ta Ti Sb
1 2 1
Cartesian
0.000 0.000 0.000
0.000 0.000 6.819
0.000 0.000 11.232
0.000 0.000 22.538
```

Output
Uncorrected formation energy: 0.062 eV per atom
Fermi-level density of states: 4.89 states/eV/cell
Size of the total moment: 0.000 μB/f.u.

The following is a DFT calculation (GGA-PBE) of crystalline Ho10Ga3Te3 at its relaxed geometry.

Cell and atoms, written as POSCAR:
```
Ho10Ga3Te3
1.0
8.759 0.000 0.000
-4.380 7.586 0.000
0.000 0.000 6.323
Ho Ga Te
10 3 3
Cartesian
-1.050 1.818 0.000
-3.320 5.751 3.161
2.100 0.000 0.000
1.060 1.835 3.161
0.000 5.057 1.531
0.000 5.057 4.792
4.380 2.529 1.531
4.380 2.529 4.792
6.640 0.000 3.161
3.330 5.768 0.000
-2.667 4.620 0.000
1.713 2.966 0.000
5.334 0.000 0.000
-1.721 2.981 3.161
3.442 0.000 3.161
2.659 4.605 3.161
```

Output
Uncorrected formation energy: -0.743 eV per atom
Fermi-level density of states: 8.77 states/eV/cell
Size of the total moment: 0.000 μB/f.u.